Record 1
The following is a DFT calculation (PBE-GGA) of Rb3Ac2PmTe6 after structural relaxation.

Results
The value obtained for the calculated density is 5.25 g cm⁻³. The raw formation energy is -1692 kJ/mol of formula units.

abc: 8.3043 14.3858 9.0276
angles: 90.00 107.89 90.00
Space group C2/m (No. 12)
Asymmetric unit:
Rb (0.0000, 0.0000, 0.0000) x2
Rb (0.0000, 0.3310, 0.0000) x4
Ac (0.0000, 0.1663, 0.5000) x4
Pm (0.0000, 0.5000, 0.5000) x2
Te (0.2302, 0.3394, 0.7092) x8
Te (0.2493, 0.0000, 0.7099) x4


Record 2
The following is a DFT calculation (PBE-GGA) of LiPm2Y3S6 after structural relaxation.

Results
The value obtained for the calculated density is 4.83 g cm⁻³. The raw formation energy is -2277 kJ/mol of formula units.

abc: 6.8199 11.8443 6.8312
angles: 90.00 109.59 90.00
Space group C2/m (No. 12)
Asymmetric unit:
Li (0.0000, 0.0000, 0.0000) x2
Pm (0.0000, 0.3341, 0.0000) x4
Y (0.0000, 0.1664, 0.5000) x4
Y (0.0000, 0.5000, 0.5000) x2
S (0.2370, 0.0000, 0.7493) x4
S (0.2458, 0.1614, 0.2541) x8


Record 3
The following is a DFT calculation (PBE-GGA) of PrAgTe4Pb2 after structural relaxation.

Results
The value obtained for the calculated density is 7.30 g cm⁻³. The raw formation energy is -471 kJ/mol of formula units.

abc: 7.8080 4.5438 7.9975
angles: 90.00 109.89 90.00
Space group P2/m (No. 10)
Asymmetric unit:
Pr (0.0000, 0.0000, 0.0000) x1
Ag (0.5000, 0.5000, 0.0000) x1
Te (0.2494, 0.5000, 0.2430) x2
Te (0.2647, 0.0000, 0.7695) x2
Pb (0.0000, 0.5000, 0.5000) x1
Pb (0.5000, 0.0000, 0.5000) x1


Record 4
The following is a DFT calculation (PBE-GGA) of PtRh2W after structural relaxation.

Results
The calculation puts the energy relative to the elements at 256.1 meV/atom. The value obtained for the calculated density is 14.54 g cm⁻³. The energy relative to the lowest polymorph listed for this composition comes out at 2.00 eV/f.u.

abc: 7.0365 7.0365 5.3958
angles: 90.00 90.00 90.00
Space group I-42d (No. 122)
Asymmetric unit:
Pt (0.0000, 0.0000, 0.0000) x4
Rh (0.2174, 0.2500, 0.6250) x8
W (0.0000, 0.0000, 0.5000) x4


Record 5
The following is a DFT calculation (PBE-GGA) of AlCrICl2 after structural relaxation.

Results
The value obtained for the calculated density is 2.23 g cm⁻³. The raw formation energy is 230 kJ/mol of formula units.

abc: 6.4394 6.4394 4.9655
angles: 90.00 90.00 90.00
Space group P4/mmm (No. 123)
Asymmetric unit:
Al (0.0000, 0.0000, 0.0000) x1
Cr (0.5000, 0.5000, 0.0000) x1
I (0.5000, 0.5000, 0.5000) x1
Cl (0.0000, 0.5000, 0.5000) x2


Record 6
The following is a DFT calculation (PBE-GGA) of AcPmNd2Er5 after structural relaxation.

Results
The calculation puts the energy relative to the elements at 248.1 meV/atom. The value obtained for the calculated density is 8.18 g cm⁻³.

abc: 8.8064 8.8064 15.6717
angles: 90.00 90.00 90.00
Space group I4/mcm (No. 140)
Asymmetric unit:
Ac (0.0000, 0.0000, 0.2500) x4
Pm (0.0000, 0.5000, 0.2500) x4
Nd (0.1172, 0.3828, 0.0000) x8
Er (0.0000, 0.0000, 0.0000) x4
Er (0.2069, 0.2931, 0.3672) x16


Record 7
The following is a DFT calculation (PBE-GGA) of Re2PtW after structural relaxation.

Results
The calculation puts the energy relative to the elements at -10.8 meV/atom. The value obtained for the calculated density is 20.14 g cm⁻³. The energy relative to the lowest polymorph listed for this composition comes out at 0.38 eV/f.u.

abc: 2.7845 2.7845 27.6812
angles: 90.00 90.00 120.00
Space group R3m (No. 160, hexagonal axes)
Asymmetric unit:
Re (0.0000, 0.0000, 0.0000) x3
Re (0.0000, 0.0000, 0.2551) x3
Pt (0.0000, 0.0000, 0.5028) x3
W (0.0000, 0.0000, 0.7524) x3


Record 8
The following is a DFT calculation (PBE-GGA) of Y6Tm3Mg after structural relaxation.

Results
The calculation puts the energy relative to the elements at 22.7 meV/atom. The value obtained for the calculated density is 5.72 g cm⁻³.

abc: 11.0825 4.9971 11.1566
angles: 90.00 90.48 90.00
Space group P2_1/m (No. 11)
Asymmetric unit:
Y (0.0494, 0.2500, 0.3991) x2
Y (0.1490, 0.7500, 0.1947) x2
Y (0.1509, 0.2500, 0.6977) x2
Y (0.2475, 0.2500, 0.9992) x2
Y (0.3491, 0.7500, 0.8004) x2
Y (0.4497, 0.2500, 0.6017) x2
Tm (0.2492, 0.7500, 0.4966) x2
Tm (0.3484, 0.2500, 0.2971) x2
Tm (0.4492, 0.7500, 0.1000) x2
Mg (0.0483, 0.7500, 0.9013) x2